A plane-wave DFT calculation with GGA-PBE was carried out for KTi2Au2 after structural relaxation.

Values from the calculation:
The crystal system is tetragonal. The calculation puts the formation energy at -0.040 eV/atom. As for the calculated total energy: -4.729 eV per atom.

a = 8.5491 Å, b = 8.5491 Å, c = 2.7815 Å
α = 90.00°, β = 90.00°, γ = 90.00°
Space group P4/mbm (No. 127)
Asymmetric unit:
K: 0.0000 0.0000 0.0000
Ti: 0.1154 0.3846 0.0000
Au: 0.1754 0.6754 0.5000